# 1
# Ba2NaAl3Au12

A geometry-optimized Ba2NaAl3Au12 structure (PBE-GGA, the Alexandria database).

abc: 8.238 8.238 8.238
angles: 68.08 68.08 68.08
Atoms (fractional coordinates):
Ba 0.611 0.611 0.611
Ba 0.389 0.389 0.389
Na 0.000 0.000 0.000
Al 0.500 0.000 0.000
Al 0.000 0.500 0.000
Al 0.000 0.000 0.500
Au 0.320 0.320 0.856
Au 0.869 0.869 0.364
Au 0.364 0.869 0.869
Au 0.856 0.320 0.320
Au 0.869 0.364 0.869
Au 0.320 0.856 0.320
Au 0.680 0.680 0.144
Au 0.131 0.131 0.636
Au 0.636 0.131 0.131
Au 0.144 0.680 0.680
Au 0.131 0.636 0.131
Au 0.680 0.144 0.680

Calculated values
The value obtained for the density of states at the Fermi level is 0.320 states/eV/atom. The calculated density comes out at 9.8 g/cm³. For the volume, the calculation gives 25.72 Å³ per atom. For the energy of formation from the pure elements, the calculation gives -0.21 eV per atom.

# 2
# Ba2NaAlAu

A geometry-optimized Ba2NaAlAu structure (PBE-GGA, the Alexandria database).

abc: 6.508 6.508 4.926
angles: 90.00 90.00 90.00
Atoms (fractional coordinates):
Na 0.500 0.500 0.500
Au 0.000 0.000 0.000
Ba 0.000 0.500 0.000
Ba 0.500 0.000 0.000
Al 0.000 0.000 0.500

Calculated values
The value obtained for the density of states at the Fermi level is 1.138 states/eV/atom. The calculated density comes out at 4.2 g/cm³. For the volume, the calculation gives 41.73 Å³ per atom. For the energy of formation from the pure elements, the calculation gives -0.24 eV per atom.

# 3
# BaAlNiAu2

A geometry-optimized BaAlNiAu2 structure (PBE-GGA, the Alexandria database).

abc: 6.053 5.172 6.053
angles: 90.00 90.00 90.00
Atoms (fractional coordinates):
Ni 0.000 0.500 0.000
Au 0.000 0.000 0.500
Au 0.500 0.000 0.000
Ba 0.000 0.000 0.000
Al 0.500 0.500 0.500

Calculated values
The value obtained for the density of states at the Fermi level is 1.029 states/eV/atom. The calculated density comes out at 5.4 g/cm³. For the volume, the calculation gives 37.90 Å³ per atom. For the energy of formation from the pure elements, the calculation gives 1.12 eV per atom.

# 4
# Ba2AlOsAu

A geometry-optimized Ba2AlOsAu structure (PBE-GGA, the Alexandria database).

abc: 5.969 5.074 5.969
angles: 90.00 90.00 90.00
Atoms (fractional coordinates):
Os 0.000 0.000 0.000
Au 0.000 0.500 0.000
Ba 0.000 0.000 0.500
Ba 0.500 0.000 0.000
Al 0.500 0.500 0.500

Calculated values
The value obtained for the density of states at the Fermi level is 1.249 states/eV/atom. The calculated density comes out at 6.3 g/cm³. For the volume, the calculation gives 36.16 Å³ per atom. For the energy of formation from the pure elements, the calculation gives 0.59 eV per atom.

# 5
# Ba2AlPb2Au4

A geometry-optimized Ba2AlPb2Au4 structure (PBE-GGA, the Alexandria database).

abc: 7.008 7.008 7.008
angles: 93.10 118.23 118.23
Atoms (fractional coordinates):
Ba 0.500 0.750 0.250
Ba 0.500 0.250 0.750
Al 0.000 0.000 0.000
Pb 0.000 0.676 0.676
Pb 0.000 0.324 0.324
Au 0.000 0.749 0.251
Au 0.497 0.749 0.749
Au 0.000 0.251 0.749
Au 0.503 0.251 0.251

Calculated values
The value obtained for the density of states at the Fermi level is 0.778 states/eV/atom. The calculated density comes out at 10.0 g/cm³. For the volume, the calculation gives 27.73 Å³ per atom. For the energy of formation from the pure elements, the calculation gives -0.46 eV per atom.

# 6
# Ba2Al4PbAu3

A geometry-optimized Ba2Al4PbAu3 structure (PBE-GGA, the Alexandria database).

abc: 4.699 4.699 10.993
angles: 90.00 90.00 90.00
Atoms (fractional coordinates):
Ba 0.500 0.000 0.244
Ba 0.000 0.500 0.756
Al 0.500 0.500 0.000
Al 0.000 0.000 0.000
Al 0.500 0.000 0.647
Al 0.000 0.500 0.353
Pb 0.500 0.500 0.500
Au 0.000 0.000 0.500
Au 0.500 0.000 0.884
Au 0.000 0.500 0.116

Calculated values
The value obtained for the density of states at the Fermi level is 0.731 states/eV/atom. The calculated density comes out at 8.1 g/cm³. For the volume, the calculation gives 24.27 Å³ per atom. For the energy of formation from the pure elements, the calculation gives -0.49 eV per atom.